(1)
Here is V2Cr4Cd after structural relaxation from Alexandria. Energies are from PBE.

Cell lengths 4.808, 4.808, 7.288 Å; angles 70.74, 70.74, 90.00 degrees
Last column: magnetic moment on the atom in μB.
Atoms (fractional coordinates):
1 Cr 0.500 0.000 0.000  2.76
2 V 0.592 0.592 0.816  -1.67
3 Cd 0.000 0.000 0.000  0.06
4 Cr 0.000 0.500 0.000  2.76
5 Cr 0.209 0.209 0.583  3.84
6 V 0.408 0.408 0.184  -1.67
7 Cr 0.791 0.791 0.417  3.84

## Properties
Formation energy = 1.60 eV/atom
Energy = -6.63 eV/atom
Space group = I4/mmm (139)



(2)
Here is VCrCd2 after structural relaxation from Alexandria. Energies are from PBE.

Cell lengths 4.695, 4.695, 4.695 Å; angles 60.00, 60.00, 60.00 degrees
Last column: magnetic moment on the atom in μB.
Atoms (fractional coordinates):
1 Cd 0.750 0.750 0.750  0.00
2 Cd 0.250 0.250 0.250  0.00
3 Cr 0.500 0.500 0.500  3.57
4 V 0.000 0.000 0.000  -2.42

## Properties
Formation energy = 0.44 eV/atom
Energy = -4.71 eV/atom
Offset from the most stable computed form = 0.0 meV/atom
Space group = Fm-3m (225)



(3)
Here is V2CrCd after structural relaxation from Alexandria. Energies are from PBE.

Cell lengths 3.753, 3.753, 9.779 Å; angles 78.94, 78.94, 90.00 degrees
Last column: magnetic moment on the atom in μB.
Atoms (fractional coordinates):
1 V 0.148 0.125 0.250  -0.76
2 Cd 0.000 0.000 0.000  0.00
3 Cd 0.750 0.250 0.500  0.00
4 Cr 0.500 0.500 0.000  2.79
5 V 0.375 0.852 0.750  -0.76
6 V 0.875 0.398 0.750  -0.76
7 V 0.602 0.625 0.250  -0.76
8 Cr 0.250 0.750 0.500  2.79

## Properties
Formation energy = 0.84 eV/atom
Energy = -6.35 eV/atom
Space group = I-42d (122)



(4)
Here is VCr3Cd after structural relaxation from Alexandria. Energies are from PBE.

Cell lengths 5.058, 5.058, 5.058 Å; angles 90.00, 90.00, 90.00 degrees
Last column: magnetic moment on the atom in μB.
Atoms (fractional coordinates):
1 Cr 0.000 0.500 0.000  3.88
2 Cr 0.500 0.000 0.000  3.88
3 Cr 0.000 0.000 0.500  3.88
4 Cd 0.000 0.000 0.000  0.09
5 V 0.500 0.500 0.500  2.95

## Properties
Formation energy = 2.01 eV/atom
Energy = -5.77 eV/atom
Offset from the most stable computed form = 784.1 meV/atom
Space group = Pm-3m (221)



(5)
Here is VCrCd2 after structural relaxation from Alexandria. Energies are from PBE.

Cell lengths 7.618, 7.618, 6.060 Å; angles 51.06, 51.06, 90.00 degrees
Last column: magnetic moment on the atom in μB.
Atoms (fractional coordinates):
1 V 0.250 0.750 0.500  -2.44
2 Cr 0.000 0.000 0.000  3.55
3 Cd 0.875 0.880 0.750  0.00
4 Cr 0.750 0.250 0.500  3.55
5 Cd 0.120 0.625 0.250  0.00
6 Cd 0.630 0.125 0.250  0.00
7 V 0.500 0.500 0.000  -2.44
8 Cd 0.375 0.370 0.750  0.00

## Properties
Formation energy = 0.79 eV/atom
Energy = -4.36 eV/atom
Offset from the most stable computed form = 350.4 meV/atom
Space group = I-42d (122)



(6)
Here is VCr3Cd after structural relaxation from Alexandria. Energies are from PBE.

Cell lengths 4.318, 4.318, 4.318 Å; angles 90.00, 90.00, 90.00 degrees
Last column: magnetic moment on the atom in μB.
Atoms (fractional coordinates):
1 Cr 0.500 0.000 0.000  0.80
2 V 0.000 0.000 0.000  -0.32
3 Cr 0.000 0.000 0.500  0.80
4 Cr 0.000 0.500 0.000  0.80
5 Cd 0.500 0.500 0.500  -0.02

## Properties
Formation energy = 1.22 eV/atom
Energy = -6.56 eV/atom
Offset from the most stable computed form = 0.0 meV/atom
Space group = Pm-3m (221)



What is the formula in the first record?
V2Cr4Cd